[1]
{
  "formula": "Li3MnCo4O8",
  "functional": "PBE with a Hubbard U",
  "state": "optimized geometry",
  "sg": "C2/m (12)",
  "cell": [[5.954, 0.028, -0.041], [2.996, 5.146, -0.041], [3.027, 1.750, 4.819]],
  "species": ["O", "Co", "Co", "Li", "O", "O", "O", "Li", "O", "Co", "Li", "O", "Co", "O", "Mn", "O"],
  "fractional_positions": [[0.251, 0.251, 0.764], [0.500, 0.000, 0.000], [0.000, 0.500, 0.000], [0.500, 0.000, 0.500], [0.749, 0.749, 0.236], [0.730, 0.261, 0.237], [0.268, 0.268, 0.223], [0.000, 0.500, 0.500], [0.732, 0.732, 0.777], [0.500, 0.500, 0.500], [0.000, 0.000, 0.500], [0.270, 0.739, 0.763], [0.000, 0.000, 0.000], [0.261, 0.730, 0.237], [0.500, 0.500, 0.000], [0.739, 0.270, 0.763]]
}

[2]
{
  "formula": "Li4MnCo2O7",
  "functional": "PBE with a Hubbard U",
  "state": "optimized geometry",
  "sg": "C2/m (12)",
  "relative_energy_ev_per_atom": 0.061,
  "cell": [[10.009, 2.561, -0.008], [-10.009, 2.561, -0.008], [0.000, 1.878, 4.811]],
  "species": ["Li", "Li", "Co", "O", "O", "Mn", "Co", "O", "O", "O", "O", "Li", "O", "Li", "Co", "O", "Mn", "O", "O", "Li", "Li", "O", "Li", "Co", "O", "O", "O", "Li"],
  "fractional_positions": [[0.000, 0.000, 0.000], [0.067, 0.933, 0.500], [0.430, 0.570, 0.000], [0.440, 0.009, 0.771], [0.114, 0.400, 0.208], [0.141, 0.859, 0.000], [0.715, 0.285, 0.000], [0.009, 0.440, 0.771], [0.560, 0.991, 0.229], [0.716, 0.716, 0.774], [0.689, 0.845, 0.240], [0.641, 0.359, 0.500], [0.155, 0.311, 0.760], [0.359, 0.641, 0.500], [0.285, 0.715, 0.000], [0.991, 0.560, 0.229], [0.859, 0.141, 0.000], [0.284, 0.284, 0.226], [0.886, 0.600, 0.792], [0.784, 0.216, 0.500], [0.933, 0.067, 0.500], [0.311, 0.155, 0.760], [0.500, 0.500, 0.500], [0.570, 0.430, 0.000], [0.400, 0.114, 0.208], [0.600, 0.886, 0.792], [0.845, 0.689, 0.240], [0.216, 0.784, 0.500]]
}

[3]
{
  "formula": "Li7Mn4CoO12",
  "functional": "PBE with a Hubbard U",
  "state": "optimized geometry",
  "sg": "Cm (8)",
  "relative_energy_ev_per_atom": 0.042,
  "cell": [[1.440, 7.820, 0.030], [-1.440, 7.820, 0.030], [0.000, 6.669, 9.693]],
  "species": ["O", "O", "O", "Mn", "Li", "O", "O", "O", "O", "Mn", "O", "O", "Li", "O", "O", "Mn", "Li", "Li", "Li", "Co", "Li", "Mn", "Li", "O"],
  "fractional_positions": [[0.835, 0.835, 0.888], [0.841, 0.841, 0.385], [0.491, 0.491, 0.893], [0.669, 0.669, 0.498], [0.670, 0.670, 0.244], [0.163, 0.163, 0.616], [0.498, 0.498, 0.112], [0.175, 0.175, 0.381], [0.504, 0.504, 0.382], [0.998, 0.998, 0.501], [0.493, 0.493, 0.618], [0.827, 0.827, 0.616], [0.664, 0.664, 0.754], [0.844, 0.844, 0.106], [0.148, 0.148, 0.885], [0.328, 0.328, 0.003], [0.337, 0.337, 0.251], [0.010, 0.010, 0.245], [0.666, 0.666, 0.002], [0.333, 0.333, 0.501], [0.997, 0.997, 0.747], [0.006, 0.006, 0.996], [0.318, 0.318, 0.761], [0.186, 0.186, 0.114]]
}

no.,total energy (eV/cell)
1,-95.34
2,-162.99
3,-148.61